No. 1
This record from Alexandria via LeMat-Bulk describes a relaxed LiDyVRu crystal. The functional is PBE. Values from VASP.

The structure in Quantum ESPRESSO input format:
```
&SYSTEM
  ibrav = 0, nat = 4, ntyp = 4
/
ATOMIC_SPECIES
Ru 101.07 Ru.upf
V 50.94 V.upf
Li 6.94 Li.upf
Dy 162.50 Dy.upf
ATOMIC_POSITIONS angstrom
Ru -2.287 -2.189 7.825
V 0.000 0.000 0.000
Li -0.762 -0.730 2.608
Dy -1.525 -1.460 5.217
CELL_PARAMETERS angstrom
-2.303 1.332 3.747
-2.284 -3.095 2.514
1.537 -1.156 4.173
```

Results
Its energy of formation is 58 meV per atom.

***

No. 2
This record from Alexandria via LeMat-Bulk describes a relaxed LiDyZnRu crystal. The functional is PBE. Values from VASP.

The structure in Quantum ESPRESSO input format:
```
&SYSTEM
  ibrav = 0, nat = 4, ntyp = 4
/
ATOMIC_SPECIES
Ru 101.07 Ru.upf
Zn 65.41 Zn.upf
Li 6.94 Li.upf
Dy 162.50 Dy.upf
ATOMIC_POSITIONS angstrom
Ru -0.471 -1.678 2.222
Zn -0.941 -3.356 4.444
Li -1.412 -5.034 6.666
Dy 0.000 0.000 0.000
CELL_PARAMETERS angstrom
-2.846 -0.875 3.521
-0.734 -4.349 1.345
1.697 -1.488 4.021
```

Results
Its energy of formation is -148 meV per atom.

***

E for every record listed, in sequence, given in Ry/atom: -0.4534 -0.3244.